Computed, not measured: Tm2ThPt2 after structural relaxation at the PBE level of DFT.

Lattice parameters (Å, degrees): 13.7113 13.7113 4.6665 90.00 90.00 163.99
With the nearest neighbours (Å) after each atom.
Element x y z (fractional)
Tm: 0.0498 0.9502 0.7500  7 Pt 2.95-3.05
Tm: 0.2638 0.7362 0.2500  2 Pt 2.85, 4 Tm 3.11
Tm: 0.7362 0.2638 0.7500  2 Pt 2.85, 4 Tm 3.11
Tm: 0.9502 0.0498 0.2500  7 Pt 2.95-3.05
Th: 0.3625 0.6375 0.7500  5 Pt 2.82-3.07
Th: 0.6375 0.3625 0.2500  5 Pt 2.82-3.07
Pt: 0.1584 0.8416 0.7500  3 Tm 2.85-2.95, 4 Th 3.07
Pt: 0.4663 0.5337 0.7500  1 Th 2.82, 6 Tm 2.96-3.05, 2 Pt 2.96
Pt: 0.5337 0.4663 0.2500  1 Th 2.82, 6 Tm 2.96-3.05, 2 Pt 2.96
Pt: 0.8416 0.1584 0.2500  3 Tm 2.85-2.95, 4 Th 3.07

Calculated values
Formation energy from the elements, eV/f.u.: -5.16
Calculated total energy, eV/atom: -6.721